## TaAlCoRe (PBE)

Data for TaAlCoRe after structural relaxation.

Computed properties:
**Magnetic moment**: 0.004 μB per formula unit
**DFT total energy**: -145.827 eV for the cell shown

Lattice parameters (Å, degrees): 6.129 6.129 6.129 90.00 90.00 90.00
Space group F-43m (No. 216)
Inequivalent atoms, fractional coordinates:
Ta1 0.000 0.000 0.000 [4 per cell]
Al1 0.000 0.000 0.500 [4 per cell]
Co1 0.250 0.250 0.750 [4 per cell]
Re1 0.250 0.250 0.250 [4 per cell]